Entry from Alexandria: a geometry-optimized CaB6W2 structure (PBE).

Cell lengths 3.091, 5.784, 5.784 Å; angles 76.60, 74.50, 74.50 degrees
Atoms (fractional coordinates):
Ca  0.000  0.000  0.000
B  0.694  0.066  0.546
B  0.306  0.934  0.454
B  0.306  0.454  0.934
B  0.500  0.673  0.327
B  0.500  0.327  0.673
B  0.694  0.546  0.066
W  0.845  0.655  0.655
W  0.155  0.345  0.345

Values from the calculation:
Space group: No. 71
Energy relative to the elements (eV/atom): -0.3546
Crystal system: orthorhombic

Entry from Alexandria: a geometry-optimized CaB3W structure (PBE).

Cell lengths 4.037, 4.037, 4.037 Å; angles 90.00, 90.00, 90.00 degrees
Last column: magnetic moment on the atom in μB.
Atoms (fractional coordinates):
Ca  0.000  0.000  0.000  0.12
B  0.000  0.500  0.000  0.04
B  0.000  0.000  0.500  0.02
B  0.500  0.000  0.000  0.07
W  0.500  0.500  0.500  -0.76

Values from the calculation:
Space group: No. 221
Energy relative to the elements (eV/atom): 3.0013
Crystal system: cubic

Entry from Alexandria: a geometry-optimized CaB3W structure (PBE).

Cell lengths 4.233, 4.233, 4.233 Å; angles 90.00, 90.00, 90.00 degrees
Atoms (fractional coordinates):
Ca  0.500  0.500  0.500
B  0.000  0.500  0.000
B  0.000  0.000  0.500
B  0.500  0.000  0.000
W  0.000  0.000  0.000

Values from the calculation:
Space group: No. 221
Energy relative to the elements (eV/atom): 0.4282
Crystal system: cubic

Entry from Alexandria: a geometry-optimized CaYB structure (PBE).

Cell lengths 6.606, 3.297, 13.009 Å; angles 90.00, 90.00, 90.00 degrees
Atoms (fractional coordinates):
Y  0.363  0.250  0.352
Y  0.137  0.750  0.852
Y  0.637  0.750  0.648
Y  0.863  0.250  0.148
Ca  0.857  0.250  0.384
Ca  0.643  0.750  0.884
Ca  0.143  0.750  0.616
Ca  0.357  0.250  0.116
B  0.889  0.250  0.748
B  0.611  0.750  0.248
B  0.111  0.750  0.252
B  0.389  0.250  0.752

Values from the calculation:
Space group: No. 62
Energy relative to the elements (eV/atom): 0.2209
Crystal system: orthorhombic

Entry from Alexandria: a geometry-optimized CaY3B structure (PBE).

Cell lengths 5.246, 5.246, 5.246 Å; angles 90.00, 90.00, 90.00 degrees
Atoms (fractional coordinates):
Y  0.000  0.500  0.000
Y  0.000  0.000  0.500
Y  0.500  0.000  0.000
Ca  0.500  0.500  0.500
B  0.000  0.000  0.000

Values from the calculation:
Space group: No. 221
Energy relative to the elements (eV/atom): 0.0254
Crystal system: cubic

Entry from Alexandria: a geometry-optimized CaYB structure (PBE).

Cell lengths 6.803, 3.285, 7.694 Å; angles 64.63, 78.58, 89.95 degrees
Atoms (fractional coordinates):
Y  0.072  0.289  0.120
Y  0.618  0.482  0.425
Ca  0.103  0.299  0.609
Ca  0.587  0.472  0.936
B  0.365  0.104  0.304
B  0.325  0.667  0.241

Values from the calculation:
Space group: No. 2
Energy relative to the elements (eV/atom): -0.0762
Crystal system: triclinic

Entry from Alexandria: a geometry-optimized CaYB structure (PBE).

Cell lengths 3.311, 5.049, 9.739 Å; angles 88.49, 90.02, 109.14 degrees
Atoms (fractional coordinates):
Y  0.104  0.463  0.200
Y  0.359  0.973  0.439
Ca  0.857  0.969  0.949
Ca  0.611  0.475  0.687
B  0.834  0.924  0.224
B  0.379  0.014  0.181

Values from the calculation:
Space group: No. 8
Energy relative to the elements (eV/atom): -0.0396
Crystal system: monoclinic

Entry from Alexandria: a geometry-optimized CaYB structure (PBE).

Cell lengths 6.648, 3.278, 7.137 Å; angles 76.71, 81.70, 90.00 degrees
Atoms (fractional coordinates):
Y  0.056  0.321  0.112
Y  0.634  0.661  0.433
Ca  0.116  0.076  0.602
Ca  0.574  0.906  0.943
B  0.386  0.240  0.274
B  0.304  0.742  0.271

Values from the calculation:
Space group: No. 12
Energy relative to the elements (eV/atom): -0.0964
Crystal system: monoclinic

Total DFT energy (no corrections), respectively: -7.91, -4.00, -6.57, -4.83, -5.59, -5.12, -5.09, -5.14 eV per atom.